# 1
Tb12Pr3Mg: relaxed, PBE.

The structure in CIF format:
```
data_Tb12Pr3Mg
_chemical_formula_sum 'Tb12 Pr3 Mg1'
_symmetry_space_group_name_H-M 'P 1'
_symmetry_Int_Tables_number 1
_cell_length_a 5.050
_cell_length_b 5.050
_cell_length_c 20.237
_cell_angle_alpha 90.00
_cell_angle_beta 90.00
_cell_angle_gamma 90.00
loop_
_symmetry_equiv_pos_as_xyz
'x,y,z'
loop_
_atom_site_label
_atom_site_type_symbol
_atom_site_fract_x
_atom_site_fract_y
_atom_site_fract_z
Tb1 Tb 0.500 0.000 0.121
Tb2 Tb 0.500 0.500 0.500
Tb3 Tb 0.500 0.500 0.756
Tb4 Tb 0.500 0.500 0.244
Tb5 Tb 0.500 0.000 0.627
Tb6 Tb 0.500 0.500 0.000
Tb7 Tb 0.000 0.500 0.879
Tb8 Tb 0.000 0.500 0.627
Tb9 Tb 0.000 0.500 0.121
Tb10 Tb 0.000 0.500 0.373
Tb11 Tb 0.500 0.000 0.879
Tb12 Tb 0.500 0.000 0.373
Pr1 Pr 0.000 0.000 0.247
Pr2 Pr 0.000 0.000 0.753
Pr3 Pr 0.000 0.000 0.500
Mg1 Mg 0.000 0.000 0.000
```


# 2
Tb3Pr7Mg: relaxed, PBE.

The structure in CIF format:
```
data_Tb3Pr7Mg
_chemical_formula_sum 'Tb3 Pr7 Mg1'
_symmetry_space_group_name_H-M 'P 1'
_symmetry_Int_Tables_number 1
_cell_length_a 8.744
_cell_length_b 7.189
_cell_length_c 7.189
_cell_angle_alpha 120.00
_cell_angle_beta 90.00
_cell_angle_gamma 90.00
loop_
_symmetry_equiv_pos_as_xyz
'x,y,z'
loop_
_atom_site_label
_atom_site_type_symbol
_atom_site_fract_x
_atom_site_fract_y
_atom_site_fract_z
Pr1 Pr 0.113 0.666 0.833
Pr2 Pr 0.453 0.832 0.663
Pr3 Pr 0.453 0.832 0.168
Pr4 Pr 0.113 0.167 0.334
Pr5 Pr 0.116 0.667 0.333
Pr6 Pr 0.113 0.167 0.833
Pr7 Pr 0.453 0.337 0.168
Tb1 Tb 0.783 0.998 0.499
Tb2 Tb 0.783 0.501 0.002
Tb3 Tb 0.783 0.501 0.499
Mg1 Mg 0.451 0.333 0.667
```


Number 1: total magnetic moment 0.0 μB/cell, E_tot -4.447 eV per atom. Number 2: total magnetic moment 0.0 μB/cell, E_tot -4.276 eV per atom.